A relaxed structure of ReSbRu2, computed with PBE.

a = 2.891 Å, b = 4.098 Å, c = 5.625 Å
α = 90.00°, β = 104.75°, γ = 90.00°
Space group Pm (No. 6)
Symmetry-distinct sites (fractional):
Re: 0.000 0.000 0.000 [1 per cell]
Sb: 0.833 0.500 0.670 [1 per cell]
Ru: 0.239 0.000 0.479 [1 per cell]
Ru: 0.591 0.500 0.182 [1 per cell]

Properties
- electronic total energy (eV per atom) = -8.459
- formation energy (no corrections) (eV/atom) = 0.32
- volume (Å³/f.u.) = 64.44
- magnetization (μB/f.u.) = 0.0

A relaxed structure of Sr2MgPb, computed with PBE.

a = 5.102 Å, b = 5.102 Å, c = 10.857 Å
α = 90.00°, β = 90.00°, γ = 90.00°
Space group I-4m2 (No. 119)
Symmetry-distinct sites (fractional):
Sr: 0.000 0.000 0.000 [2 per cell]
Sr: 0.000 0.500 0.250 [2 per cell]
Mg: 0.000 0.500 0.750 [2 per cell]
Pb: 0.000 0.000 0.500 [2 per cell]

Properties
- electronic total energy (eV per atom) = -2.368
- volume (Å³/f.u.) = 141.31
- calculated formation energy (kJ/mol of atoms) = -19.44
- magnetization (μB/f.u.) = 0.0

A relaxed structure of ScNbPt6, computed with PBE.

a = 4.006 Å, b = 4.006 Å, c = 8.023 Å
α = 90.00°, β = 90.00°, γ = 90.00°
Space group P4/mmm (No. 123)
Symmetry-distinct sites (fractional):
Sc: 0.000 0.000 0.000 [1 per cell]
Nb: 0.000 0.000 0.500 [1 per cell]
Pt: 0.000 0.500 0.256 [4 per cell]
Pt: 0.500 0.500 0.000 [1 per cell]
Pt: 0.500 0.500 0.500 [1 per cell]

Properties
- electronic total energy (eV per atom) = -7.445
- volume (Å³/f.u.) = 128.73
- calculated formation energy (kJ/mol of atoms) = -83.37
- magnetization (μB/f.u.) = 0.0

A relaxed structure of CdBiTe2, computed with PBE.

a = 7.732 Å, b = 7.732 Å, c = 7.732 Å
α = 90.00°, β = 90.00°, γ = 90.00°
Space group Fm-3m (No. 225)
Symmetry-distinct sites (fractional):
Cd: 0.000 0.000 0.000 [4 per cell]
Bi: 0.000 0.000 0.500 [4 per cell]
Te: 0.250 0.250 0.250 [8 per cell]

Properties
- electronic total energy (eV per atom) = -2.720
- formation energy (no corrections) (eV/atom) = 0.05
- volume (Å³/f.u.) = 115.55
- excess energy over the best structure of this formula in the dataset (eV/f.u.) = 1.01
- magnetization (μB/f.u.) = 0.0

A relaxed structure of K5U2Cl12, computed with PBE.

a = 16.349 Å, b = 9.877 Å, c = 7.767 Å
α = 90.00°, β = 116.52°, γ = 90.00°
Space group C2/m (No. 12)
Symmetry-distinct sites (fractional):
K: 0.000 0.000 0.000 [2 per cell]
K: 0.208 0.500 0.149 [4 per cell]
K: 0.239 0.000 0.307 [4 per cell]
U: 0.000 0.251 0.500 [4 per cell]
Cl: 0.079 0.500 0.713 [4 per cell]
Cl: 0.086 0.000 0.451 [4 per cell]
Cl: 0.125 0.184 0.873 [8 per cell]
Cl: 0.125 0.310 0.367 [8 per cell]

Properties
- electronic total energy (eV per atom) = -4.478
- formation energy (no corrections) (eV/atom) = -1.84
- volume (Å³/f.u.) = 561.11
- magnetization (μB/f.u.) = 5.0

A relaxed structure of CeGdPbBr, computed with PBE.

a = 7.675 Å, b = 7.675 Å, c = 7.675 Å
α = 90.00°, β = 90.00°, γ = 90.00°
Space group F-43m (No. 216)
Symmetry-distinct sites (fractional):
Ce: 0.000 0.000 0.000 [4 per cell]
Gd: 0.000 0.000 0.500 [4 per cell]
Pb: 0.250 0.250 0.750 [4 per cell]
Br: 0.250 0.250 0.250 [4 per cell]

Properties
- electronic total energy (eV per atom) = -7.071
- formation energy (no corrections) (eV/atom) = -0.72
- volume (Å³/f.u.) = 113.01
- magnetization (μB/f.u.) = 8.9

A relaxed structure of RbCrS2, computed with PBE.

a = 8.039 Å, b = 8.039 Å, c = 5.957 Å
α = 90.00°, β = 90.00°, γ = 90.00°
Space group I4/mcm (No. 140)
Symmetry-distinct sites (fractional):
Rb: 0.000 0.000 0.250 [4 per cell]
Cr: 0.000 0.500 0.250 [4 per cell]
S: 0.145 0.355 0.000 [8 per cell]

Properties
- electronic total energy (eV per atom) = -5.415
- formation energy (no corrections) (eV/atom) = -0.70
- volume (Å³/f.u.) = 96.25
- magnetization (μB/f.u.) = 0.4

A relaxed structure of MnCo2Si, computed with PBE.

a = 3.913 Å, b = 3.913 Å, c = 2.931 Å
α = 90.00°, β = 90.00°, γ = 90.00°
Space group P4/mmm (No. 123)
Symmetry-distinct sites (fractional):
Mn: 0.000 0.000 0.000 [1 per cell]
Co: 0.000 0.500 0.500 [2 per cell]
Si: 0.500 0.500 0.000 [1 per cell]

Properties
- electronic total energy (eV per atom) = -7.570
- formation energy (no corrections) (eV/atom) = -0.37
- volume (Å³/f.u.) = 44.88
- magnetization (μB/f.u.) = 5.0